DFT (PBE) results for a relaxed structure of Pm2SmPa.

Computed properties:
- polymorph energy (0 for the lowest one) (meV/atom) = 0
- total magnetic moment (Bohr magnetons per cell) = 0.00
- space-group type = P4/mmm, No. 123
- uncorrected energy (eV/atom) = -5.78

Cell and atoms, written as POSCAR:
```
Pm2SmPa
1.0
3.4467 0.0000 0.0000
0.0000 3.4467 0.0000
0.0000 0.0000 10.5360
Pa Sm Pm
1 1 2
direct
0.5000 0.5000 0.0000 Pa
0.5000 0.5000 0.5000 Sm
0.0000 0.0000 0.7713 Pm
0.0000 0.0000 0.2287 Pm
```